The following is a DFT calculation (PBE) of Li3CBr after structural relaxation.

* E_form (uncorrected): 603.8 meV per atom
* total magnetization: 2.0 μB/cell
* energy relative to the lowest polymorph listed for this composition: 539 meV per atom
* calculated total energy: -2.72 eV/atom

abc: 4.6663 4.6663 4.6663
angles: 90.00 90.00 90.00
Space group Pm-3m (No. 221)
Unique sites:
Li  0.0000  0.0000  0.5000 [3 per cell]
C  0.5000  0.5000  0.5000 [1 per cell]
Br  0.0000  0.0000  0.0000 [1 per cell]

The following is a DFT calculation (PBE) of Li2CBr after structural relaxation.

* E_form (uncorrected): 542.2 meV per atom
* total magnetization: 4.2 μB/cell
* energy relative to the lowest polymorph listed for this composition: 0 meV per atom
* calculated total energy: -3.14 eV/atom

abc: 6.7828 6.7828 5.4625
angles: 90.00 90.00 90.00
Space group I-42d (No. 122)
Unique sites:
Li  0.1746  0.2500  0.1250 [8 per cell]
C  0.0000  0.0000  0.0000 [4 per cell]
Br  0.0000  0.0000  0.5000 [4 per cell]

The following is a DFT calculation (PBE) of LiC3Br after structural relaxation.

* E_form (uncorrected): 3245.5 meV per atom
* total magnetization: 0.0 μB/cell
* energy relative to the lowest polymorph listed for this composition: 0 meV per atom
* calculated total energy: -3.01 eV/atom

abc: 3.9308 3.9308 3.9308
angles: 90.00 90.00 90.00
Space group Pm-3m (No. 221)
Unique sites:
Li  0.0000  0.0000  0.0000 [1 per cell]
C  0.0000  0.0000  0.5000 [3 per cell]
Br  0.5000  0.5000  0.5000 [1 per cell]

The following is a DFT calculation (PBE) of LiCBr2 after structural relaxation.

* E_form (uncorrected): 789.2 meV per atom
* total magnetization: 3.0 μB/cell
* energy relative to the lowest polymorph listed for this composition: 104 meV per atom
* calculated total energy: -2.83 eV/atom

abc: 3.9297 3.9297 22.8629
angles: 90.00 90.00 120.00
Space group R-3m (No. 166, hexagonal axes)
Unique sites:
Li  0.0000  0.0000  0.0000 [3 per cell]
C  0.0000  0.0000  0.5000 [3 per cell]
Br  0.0000  0.0000  0.4000 [6 per cell]

The following is a DFT calculation (PBE) of Sr2LiCBr3N2 after structural relaxation.

* E_form (uncorrected): -1453.5 meV per atom
* total magnetization: 0.0 μB/cell
* calculated total energy: -5.47 eV/atom

abc: 14.7571 14.7571 14.7571
angles: 90.00 90.00 90.00
Space group Fd-3m (No. 227, origin choice 2)
Unique sites:
Sr  0.0284  0.0284  0.2216 [32 per cell]
Li  0.0000  0.0000  0.5000 [16 per cell]
C  0.0000  0.0000  0.0000 [16 per cell]
Br  0.0698  0.3750  0.8750 [48 per cell]
N  0.0483  0.0483  0.0483 [32 per cell]

The following is a DFT calculation (PBE) of LiCBrO2 after structural relaxation.

* E_form (uncorrected): -1351.5 meV per atom
* total magnetization: 0.0 μB/cell
* calculated total energy: -5.90 eV/atom

abc: 5.7144 4.8964 7.4791
angles: 90.00 91.00 90.00
Space group P2_1/m (No. 11)
Unique sites:
Li  0.1148  0.2500  0.1217 [2 per cell]
C  0.2987  0.7500  0.6311 [2 per cell]
Br  0.2356  0.7500  0.0976 [2 per cell]
O  0.0930  0.7500  0.6405 [2 per cell]
O  0.4972  0.2500  0.3806 [2 per cell]

The following is a DFT calculation (PBE) of LiPC2Br after structural relaxation.

* E_form (uncorrected): 785.2 meV per atom
* total magnetization: 0.0 μB/cell
* calculated total energy: -4.70 eV/atom

abc: 3.4628 3.4628 8.1469
angles: 90.00 90.00 90.00
Space group P4/mmm (No. 123)
Unique sites:
Li  0.0000  0.0000  0.0000 [1 per cell]
P  0.5000  0.5000  0.5000 [1 per cell]
C  0.0000  0.5000  0.5000 [2 per cell]
Br  0.5000  0.5000  0.0000 [1 per cell]

The following is a DFT calculation (PBE) of Rb2LiCBr6 after structural relaxation.

* E_form (uncorrected): -478.0 meV per atom
* total magnetization: 0.0 μB/cell
* calculated total energy: -2.79 eV/atom

abc: 7.3805 7.3805 10.4580
angles: 90.00 90.00 90.00
Space group I4/mmm (No. 139)
Unique sites:
Rb  0.0000  0.5000  0.2500 [4 per cell]
Li  0.0000  0.0000  0.0000 [2 per cell]
C  0.0000  0.0000  0.5000 [2 per cell]
Br  0.0000  0.0000  0.2640 [4 per cell]
Br  0.2363  0.2363  0.5000 [8 per cell]